Record 1
# YTa2Al PBE relaxed
# formation energy from the elements = 0.58 eV/f.u.
# raw total energy = -66.67 eV for the cell shown
data_YTa2Al
_chemical_formula_sum 'Y2 Ta4 Al2'
_space_group_name_H-M_alt 'I 4/m m m'
_space_group_IT_number 139
_space_group_name_Hall '-I 4 2'
_cell_length_a 4.162
_cell_length_b 4.162
_cell_length_c 9.381
_cell_angle_alpha 90.00
_cell_angle_beta 90.00
_cell_angle_gamma 90.00
loop_
_atom_site_label
_atom_site_type_symbol
_atom_site_fract_x
_atom_site_fract_y
_atom_site_fract_z
Y1 Y 0.000 0.000 0.000
Ta1 Ta 0.000 0.500 0.250
Al1 Al 0.000 0.000 0.500

Record 2
# Y3TaAl PBE relaxed
# formation energy from the elements = 3.70 eV/f.u.
# raw total energy = -31.29 eV for the cell shown
data_Y3TaAl
_chemical_formula_sum 'Y3 Ta1 Al1'
_space_group_name_H-M_alt 'P m -3 m'
_space_group_IT_number 221
_space_group_name_Hall '-P 4 2 3'
_cell_length_a 5.424
_cell_length_b 5.424
_cell_length_c 5.424
_cell_angle_alpha 90.00
_cell_angle_beta 90.00
_cell_angle_gamma 90.00
loop_
_atom_site_label
_atom_site_type_symbol
_atom_site_fract_x
_atom_site_fract_y
_atom_site_fract_z
Y1 Y 0.000 0.000 0.500
Ta1 Ta 0.000 0.000 0.000
Al1 Al 0.500 0.500 0.500

Record 3
# YTa2Al PBE relaxed
# formation energy from the elements = 0.46 eV/f.u.
# raw total energy = -66.91 eV for the cell shown
data_YTa2Al
_chemical_formula_sum 'Y2 Ta4 Al2'
_space_group_name_H-M_alt 'C 1 2/m 1'
_space_group_IT_number 12
_cell_length_a 10.369
_cell_length_b 3.001
_cell_length_c 5.300
_cell_angle_alpha 90.00
_cell_angle_beta 102.34
_cell_angle_gamma 90.00
loop_
_space_group_symop_operation_xyz
'x,y,z'
'-x,-y,-z'
'-x,y,-z'
'x,-y,z'
'x+1/2,y+1/2,z'
'-x+1/2,-y+1/2,-z'
'-x+1/2,y+1/2,-z'
'x+1/2,-y+1/2,z'
loop_
_atom_site_label
_atom_site_type_symbol
_atom_site_fract_x
_atom_site_fract_y
_atom_site_fract_z
Y1 Y 0.000 0.000 0.000
Ta1 Ta 0.232 0.000 0.721
Al1 Al 0.000 0.500 0.500

Record 4
# YTaAl2 PBE relaxed
# formation energy from the elements = 1.14 eV/f.u.
# raw total energy = -98.65 eV for the cell shown
data_YTaAl2
_chemical_formula_sum 'Y4 Ta4 Al8'
_space_group_name_H-M_alt 'F -4 3 m'
_space_group_IT_number 216
_space_group_name_Hall 'F -4 2 3'
_cell_length_a 6.778
_cell_length_b 6.778
_cell_length_c 6.778
_cell_angle_alpha 90.00
_cell_angle_beta 90.00
_cell_angle_gamma 90.00
loop_
_atom_site_label
_atom_site_type_symbol
_atom_site_fract_x
_atom_site_fract_y
_atom_site_fract_z
Y1 Y 0.000 0.000 0.000
Ta1 Ta 0.250 0.250 0.250
Al1 Al 0.000 0.000 0.500
Al2 Al 0.250 0.250 0.750

Record 5
# YTa2Al PBE relaxed
# formation energy from the elements = 0.92 eV/f.u.
# raw total energy = -65.98 eV for the cell shown
data_YTa2Al
_chemical_formula_sum 'Y2 Ta4 Al2'
_space_group_name_H-M_alt 'C 1 2/m 1'
_space_group_IT_number 12
_cell_length_a 5.891
_cell_length_b 9.906
_cell_length_c 2.901
_cell_angle_alpha 90.00
_cell_angle_beta 109.10
_cell_angle_gamma 90.00
loop_
_space_group_symop_operation_xyz
'x,y,z'
'-x,-y,-z'
'-x,y,-z'
'x,-y,z'
'x+1/2,y+1/2,z'
'-x+1/2,-y+1/2,-z'
'-x+1/2,y+1/2,-z'
'x+1/2,-y+1/2,z'
loop_
_atom_site_label
_atom_site_type_symbol
_atom_site_fract_x
_atom_site_fract_y
_atom_site_fract_z
Y1 Y 0.000 0.000 0.000
Ta1 Ta 0.250 0.250 0.500
Al1 Al 0.000 0.500 0.000

Record 6
# YTaAl2 PBE relaxed
# formation energy from the elements = -0.14 eV/f.u.
# raw total energy = -103.78 eV for the cell shown
data_YTaAl2
_chemical_formula_sum 'Y4 Ta4 Al8'
_space_group_name_H-M_alt 'F m -3 m'
_space_group_IT_number 225
_space_group_name_Hall '-F 4 2 3'
_cell_length_a 6.788
_cell_length_b 6.788
_cell_length_c 6.788
_cell_angle_alpha 90.00
_cell_angle_beta 90.00
_cell_angle_gamma 90.00
loop_
_atom_site_label
_atom_site_type_symbol
_atom_site_fract_x
_atom_site_fract_y
_atom_site_fract_z
Y1 Y 0.000 0.000 0.000
Ta1 Ta 0.000 0.000 0.500
Al1 Al 0.250 0.250 0.250

Record 7
# YTa2Al PBE relaxed
# formation energy from the elements = 0.90 eV/f.u.
# raw total energy = -99.03 eV for the cell shown
data_YTa2Al
_chemical_formula_sum 'Y3 Ta6 Al3'
_space_group_name_H-M_alt 'R 3 m'
_space_group_IT_number 160
_space_group_name_Hall 'R 3 -2"'
_cell_length_a 3.0974
_cell_length_b 3.0974
_cell_length_c 29.5758
_cell_angle_alpha 90.00
_cell_angle_beta 90.00
_cell_angle_gamma 120.00
loop_
_atom_site_label
_atom_site_type_symbol
_atom_site_fract_x
_atom_site_fract_y
_atom_site_fract_z
Y1 Y 0.0000 0.0000 0.0000
Ta1 Ta 0.0000 0.0000 0.2445
Ta2 Ta 0.0000 0.0000 0.4980
Al1 Al 0.0000 0.0000 0.7561

Record 8
# YTaAl2 PBE relaxed
# formation energy from the elements = -0.15 eV/f.u.
# raw total energy = -51.91 eV for the cell shown
data_YTaAl2
_chemical_formula_sum 'Y2 Ta2 Al4'
_space_group_name_H-M_alt 'C 1 2/m 1'
_space_group_IT_number 12
_cell_length_a 9.485
_cell_length_b 3.010
_cell_length_c 5.831
_cell_angle_alpha 90.00
_cell_angle_beta 97.06
_cell_angle_gamma 90.00
loop_
_space_group_symop_operation_xyz
'x,y,z'
'-x,-y,-z'
'-x,y,-z'
'x,-y,z'
'x+1/2,y+1/2,z'
'-x+1/2,-y+1/2,-z'
'-x+1/2,y+1/2,-z'
'x+1/2,-y+1/2,z'
loop_
_atom_site_label
_atom_site_type_symbol
_atom_site_fract_x
_atom_site_fract_y
_atom_site_fract_z
Y1 Y 0.000 0.000 0.000
Ta1 Ta 0.000 0.500 0.500
Al1 Al 0.242 0.000 0.698